Entry 1:
This record from Alexandria describes a relaxed ScCu2Pb crystal. The functional is PBE-GGA.

```
ScCu2Pb
1.0
-4.774 -2.049 -1.280
0.101 -3.270 -4.234
2.264 0.594 4.812
Cu Pb Sc
2 1 1
Direct
0.770 0.270 0.500
0.972 0.972 0.000
0.517 0.517 0.000
0.241 0.741 0.500
```

Values from the calculation:
* SG: Imm2, No. 44
* VASP energy: -4.543 eV per atom
* calculated volume: 18.6 Å³/atom
* spin magnetization: 0.0 μB per formula unit
* DFT formation energy: 0.01 eV/atom

***

Entry 2:
This record from Alexandria describes a relaxed Tb2Pr7Er3 crystal. The functional is PBE-GGA.

```
Tb2Pr7Er3
1.0
-0.129 3.284 -1.574
-4.404 -1.845 -3.490
-11.762 6.169 13.832
Pr Er Tb
7 3 2
Direct
0.000 0.672 0.145
0.500 0.825 0.816
0.000 0.328 0.855
0.000 0.000 0.000
0.500 0.742 0.465
0.500 0.258 0.535
0.500 0.175 0.184
0.000 0.783 0.632
0.000 0.217 0.368
0.500 0.500 0.000
0.500 0.705 0.299
0.500 0.295 0.701
```

Values from the calculation:
* SG: P2/m, No. 10
* VASP energy: -4.608 eV per atom
* calculated volume: 34.4 Å³/atom
* spin magnetization: 0.0 μB per formula unit
* distance to the lowest polymorph of the same formula: 24 meV/atom
* DFT formation energy: 0.09 eV/atom

***

Entry 3:
This record from Alexandria describes a relaxed Mg2AlTe crystal. The functional is PBE-GGA.

```
Mg2AlTe
1.0
-2.012 -1.576 -4.328
3.872 -3.119 0.738
-2.279 -2.375 1.925
Te Mg Al
1 2 1
Direct
0.500 0.000 0.500
0.000 0.000 0.000
0.500 0.500 0.000
0.000 0.500 0.500
```

Values from the calculation:
* SG: Cmmm, No. 65
* VASP energy: -2.612 eV per atom
* calculated volume: 23.4 Å³/atom
* formation energy without anion corrections: -0.094 eV/atom
* spin magnetization: 0.0 μB per formula unit
* distance to the lowest polymorph of the same formula: 46 meV/atom

***

Entry 4:
This record from Alexandria describes a relaxed CaTb2SmTe4 crystal. The functional is PBE-GGA.

```
CaTb2SmTe4
1.0
4.389 0.000 0.000
0.000 7.649 -0.183
0.000 2.679 7.198
Te Sm Tb Ca
4 1 2 1
Direct
0.500 0.754 0.246
0.000 0.246 0.250
0.000 0.754 0.750
0.500 0.246 0.754
0.000 0.500 0.500
0.500 0.000 0.500
0.000 0.000 0.000
0.500 0.500 0.000
```

Values from the calculation:
* SG: P2/m, No. 10
* VASP energy: -4.972 eV per atom
* calculated volume: 30.5 Å³/atom
* formation energy without anion corrections: -1.403 eV/atom
* spin magnetization: 0.0 μB per formula unit